This record from Alexandria describes Nd2HAu after structural relaxation. The functional is PBE-GGA.

Computed properties:
relative energy among the computed polymorphs = 0.190 eV per atom

Cell and atoms, written as CIF:
```
data_Nd2HAu
_cell_length_a 3.9546
_cell_length_b 3.9546
_cell_length_c 20.7393
_cell_angle_alpha 90.00
_cell_angle_beta 90.00
_cell_angle_gamma 120.00
_space_group_name_H-M_alt 'R -3 m'
_space_group_IT_number 166
_space_group_name_Hall '-R 3 2"'
loop_
_atom_site_label
_atom_site_type_symbol
_atom_site_fract_x
_atom_site_fract_y
_atom_site_fract_z
Nd1 Nd 0.0000 0.0000 0.2356
H1 H 0.0000 0.0000 0.5000
Au1 Au 0.0000 0.0000 0.0000
```